(1)
VASP calculation (PBE-GGA) on a geometry-optimized Gd2P structure.

Lattice parameters (Å, degrees): 4.7419 4.7419 4.7419 60.00 60.00 60.00
Sites, in units of the cell vectors:
Gd: 0.7500 0.7500 0.7500
Gd: 0.2500 0.2500 0.2500
P: 0.0000 0.0000 0.0000

The space-group type is Fm-3m. For the calculated total energy, the calculation gives -5.76 eV per atom. As for the offset from the most stable computed form: 0 meV/atom.



(2)
VASP calculation (PBE-GGA) on a geometry-optimized GdP2 structure.

Lattice parameters (Å, degrees): 5.3749 5.3749 5.3749 60.00 60.00 60.00
Sites, in units of the cell vectors:
P: 0.1250 0.6250 0.6250
P: 0.6250 0.6250 0.1250
P: 0.6250 0.6250 0.6250
Gd: 0.0000 0.0000 0.0000
Gd: 0.2500 0.2500 0.2500
P: 0.6250 0.1250 0.6250

The space-group type is Fd-3m. For the calculated total energy, the calculation gives -5.44 eV per atom.



We obtain volume values of 75.4 54.9 Å³/f.u. for the records listed above, in that order.